Record 1
The following is a DFT calculation (PBE-GGA) of a relaxed structure of HgRu2Br.

Values from the calculation:
E_form (uncorrected) = 0.7893 eV/atom
E_tot = -4.34 eV/atom

The structure in CIF format:
```
data_HgRu2Br
_chemical_formula_sum 'Hg1 Ru2 Br1'
_cell_length_a 4.4727
_cell_length_b 4.4727
_cell_length_c 5.7356
_cell_angle_alpha 78.69
_cell_angle_beta 78.69
_cell_angle_gamma 39.44
_space_group_name_H-M_alt 'P 1'
_space_group_IT_number 1
loop_
_space_group_symop_operation_xyz
'x,y,z'
loop_
_atom_site_label
_atom_site_fract_x
_atom_site_fract_y
_atom_site_fract_z
_atom_site_occupancy
Hg1 0.2500 0.2500 0.2500 1
Ru1 0.4992 0.4992 0.5556 1
Ru2 0.0008 0.0008 0.9444 1
Br1 0.7500 0.7500 0.7500 1
```

Record 2
The following is a DFT calculation (PBE-GGA) of a relaxed structure of HgRu2Br.

Values from the calculation:
E_form (uncorrected) = 0.8201 eV/atom
E_tot = -4.31 eV/atom

The structure in CIF format:
```
data_HgRu2Br
_chemical_formula_sum 'Hg1 Ru2 Br1'
_cell_length_a 5.8324
_cell_length_b 5.8324
_cell_length_c 5.8324
_cell_angle_alpha 150.52
_cell_angle_beta 131.93
_cell_angle_gamma 57.40
_space_group_name_H-M_alt 'P 1'
_space_group_IT_number 1
loop_
_space_group_symop_operation_xyz
'x,y,z'
loop_
_atom_site_label
_atom_site_fract_x
_atom_site_fract_y
_atom_site_fract_z
_atom_site_occupancy
Ru1 0.9667 0.9667 0.0000 1
Ru2 0.7580 0.2580 0.5000 1
Br1 0.5298 0.5298 0.0000 1
Hg1 0.2455 0.7455 0.5000 1
```

Record 3
The following is a DFT calculation (PBE-GGA) of a relaxed structure of HgRu2Br2.

Values from the calculation:
E_form (uncorrected) = 0.5577 eV/atom
E_tot = -3.88 eV/atom

The structure in CIF format:
```
data_HgRu2Br2
_chemical_formula_sum 'Hg1 Ru2 Br2'
_cell_length_a 4.0364
_cell_length_b 4.0364
_cell_length_c 8.6329
_cell_angle_alpha 76.48
_cell_angle_beta 76.48
_cell_angle_gamma 90.00
_space_group_name_H-M_alt 'P 1'
_space_group_IT_number 1
loop_
_space_group_symop_operation_xyz
'x,y,z'
loop_
_atom_site_label
_atom_site_fract_x
_atom_site_fract_y
_atom_site_fract_z
_atom_site_occupancy
Br1 0.6603 0.6603 0.6793 1
Br2 0.3397 0.3397 0.3207 1
Hg1 0.0000 0.0000 0.0000 1
Ru1 0.2500 0.7500 0.5000 1
Ru2 0.7500 0.2500 0.5000 1
```

Record 4
The following is a DFT calculation (PBE-GGA) of a relaxed structure of HgRuSe2Br.

Values from the calculation:
E_form (uncorrected) = 0.2344 eV/atom
E_tot = -3.41 eV/atom

The structure in CIF format:
```
data_HgRuSe2Br
_chemical_formula_sum 'Hg1 Ru1 Se2 Br1'
_cell_length_a 4.8419
_cell_length_b 4.8419
_cell_length_c 5.3497
_cell_angle_alpha 90.00
_cell_angle_beta 90.00
_cell_angle_gamma 90.00
_space_group_name_H-M_alt 'P 1'
_space_group_IT_number 1
loop_
_space_group_symop_operation_xyz
'x,y,z'
loop_
_atom_site_label
_atom_site_fract_x
_atom_site_fract_y
_atom_site_fract_z
_atom_site_occupancy
Br1 0.0000 0.0000 0.5000 1
Ru1 0.0000 0.0000 0.0000 1
Se1 0.5000 0.0000 0.0000 1
Se2 0.0000 0.5000 0.0000 1
Hg1 0.5000 0.5000 0.5000 1
```

no.,E above lowest polymorph (meV per atom)
1,416
2,447
3,0
4,0